# 1
The following is a DFT calculation (PBE) of an optimized crystal structure of AlCdGe3. Values from VASP.

Summary:
Energy of formation (meV per atom): 527.2
Density of states at the Fermi level (states/eV/cell): 2.95
Offset from the most stable computed form (meV/atom): 0

Geometry as Quantum ESPRESSO input:
```
&SYSTEM
  ibrav = 0, nat = 5, ntyp = 3
/
ATOMIC_SPECIES
Ge 72.64 Ge.upf
Al 26.98 Al.upf
Cd 112.41 Cd.upf
ATOMIC_POSITIONS crystal
Ge 0.000 0.500 0.000
Ge 0.000 0.000 0.500
Ge 0.500 0.000 0.000
Al 0.000 0.000 0.000
Cd 0.500 0.500 0.500
CELL_PARAMETERS angstrom
4.922 0.000 0.000
0.000 4.922 0.000
0.000 0.000 4.922
```

=====

# 2
The following is a DFT calculation (PBE) of an optimized crystal structure of Al2CdGe. Values from VASP.

Summary:
Energy of formation (meV per atom): 182.6
Density of states at the Fermi level (states/eV/cell): 1.95
Offset from the most stable computed form (meV/atom): 0

Geometry as Quantum ESPRESSO input:
```
&SYSTEM
  ibrav = 0, nat = 4, ntyp = 3
/
ATOMIC_SPECIES
Ge 72.64 Ge.upf
Al 26.98 Al.upf
Cd 112.41 Cd.upf
ATOMIC_POSITIONS crystal
Ge 0.500 0.500 0.500
Al 0.093 0.093 0.721
Al 0.907 0.907 0.279
Cd 0.000 0.000 0.000
CELL_PARAMETERS angstrom
-0.189 -1.643 -2.434
2.251 -1.723 -0.790
-3.402 -9.071 4.607
```

=====

# 3
The following is a DFT calculation (PBE) of an optimized crystal structure of AlCd2Ge. Values from VASP.

Summary:
Energy of formation (meV per atom): 244.2
Density of states at the Fermi level (states/eV/cell): 2.28
Offset from the most stable computed form (meV/atom): 39

Geometry as Quantum ESPRESSO input:
```
&SYSTEM
  ibrav = 0, nat = 4, ntyp = 3
/
ATOMIC_SPECIES
Ge 72.64 Ge.upf
Al 26.98 Al.upf
Cd 112.41 Cd.upf
ATOMIC_POSITIONS crystal
Ge 0.500 0.500 0.500
Al 0.000 0.000 0.000
Cd 0.250 0.250 0.250
Cd 0.750 0.750 0.750
CELL_PARAMETERS angstrom
-1.979 -3.869 -2.347
-4.808 -1.003 0.512
-3.090 0.724 -3.784
```

=====

# 4
The following is a DFT calculation (PBE) of an optimized crystal structure of AlCdGe3. Values from VASP.

Summary:
Energy of formation (meV per atom): 956.6
Density of states at the Fermi level (states/eV/cell): 3.78
Offset from the most stable computed form (meV/atom): 429

Geometry as Quantum ESPRESSO input:
```
&SYSTEM
  ibrav = 0, nat = 5, ntyp = 3
/
ATOMIC_SPECIES
Ge 72.64 Ge.upf
Al 26.98 Al.upf
Cd 112.41 Cd.upf
ATOMIC_POSITIONS crystal
Ge 0.000 0.500 0.000
Ge 0.000 0.000 0.500
Ge 0.500 0.000 0.000
Al 0.500 0.500 0.500
Cd 0.000 0.000 0.000
CELL_PARAMETERS angstrom
-4.681 1.846 -1.055
0.799 -0.835 -5.009
-1.970 -4.725 0.473
```

=====

# 5
The following is a DFT calculation (PBE) of an optimized crystal structure of AlCd2HgGe. Values from VASP.

Summary:
Energy of formation (meV per atom): 361.5
Density of states at the Fermi level (states/eV/cell): 3.27

Geometry as Quantum ESPRESSO input:
```
&SYSTEM
  ibrav = 0, nat = 5, ntyp = 4
/
ATOMIC_SPECIES
Ge 72.64 Ge.upf
Al 26.98 Al.upf
Hg 200.59 Hg.upf
Cd 112.41 Cd.upf
ATOMIC_POSITIONS crystal
Ge 0.000 0.500 0.000
Al 0.000 0.000 0.000
Hg 0.500 0.500 0.500
Cd 0.000 0.000 0.500
Cd 0.500 0.000 0.000
CELL_PARAMETERS angstrom
-0.485 4.983 1.793
-4.870 -0.206 -0.743
-0.676 -1.844 4.942
```

=====

# 6
The following is a DFT calculation (PBE) of an optimized crystal structure of KAlCdGe. Values from VASP.

Summary:
Energy of formation (meV per atom): -123.2
Density of states at the Fermi level (states/eV/cell): 3.32

Geometry as Quantum ESPRESSO input:
```
&SYSTEM
  ibrav = 0, nat = 8, ntyp = 4
/
ATOMIC_SPECIES
K 39.10 K.upf
Al 26.98 Al.upf
Cd 112.41 Cd.upf
Ge 72.64 Ge.upf
ATOMIC_POSITIONS crystal
K 0.750 0.750 0.250
K 0.250 0.250 0.750
Al 0.750 0.250 0.000
Al 0.250 0.750 0.000
Cd 0.250 0.750 0.500
Cd 0.750 0.250 0.500
Ge 0.750 0.750 0.881
Ge 0.250 0.250 0.119
CELL_PARAMETERS angstrom
4.109 0.000 0.000
0.000 4.109 0.000
0.000 0.000 13.724
```

=====

# 7
The following is a DFT calculation (PBE) of an optimized crystal structure of LiAlCdGe. Values from VASP.

Summary:
Energy of formation (meV per atom): -53.6
Density of states at the Fermi level (states/eV/cell): 1.10

Geometry as Quantum ESPRESSO input:
```
&SYSTEM
  ibrav = 0, nat = 4, ntyp = 4
/
ATOMIC_SPECIES
Ge 72.64 Ge.upf
Li 6.94 Li.upf
Al 26.98 Al.upf
Cd 112.41 Cd.upf
ATOMIC_POSITIONS crystal
Ge 0.250 0.250 0.250
Li 0.500 0.500 0.500
Al 0.000 0.000 0.000
Cd 0.750 0.750 0.750
CELL_PARAMETERS angstrom
4.701 0.000 0.000
2.350 4.071 0.000
2.350 1.357 3.838
```

=====

# 8
The following is a DFT calculation (PBE) of an optimized crystal structure of AlCdGe2O6. Values from VASP.

Geometry as Quantum ESPRESSO input:
```
&SYSTEM
  ibrav = 0, nat = 20, ntyp = 4
/
ATOMIC_SPECIES
Al 26.98 Al.upf
Cd 112.41 Cd.upf
Ge 72.64 Ge.upf
O 16.00 O.upf
ATOMIC_POSITIONS crystal
Al 0.250 0.254 0.746
Al 0.750 0.746 0.254
Cd 0.250 0.929 0.071
Cd 0.750 0.071 0.929
Ge 0.281 0.813 0.635
Ge 0.219 0.365 0.187
Ge 0.719 0.187 0.365
Ge 0.781 0.635 0.813
O 0.180 0.044 0.714
O 0.320 0.286 0.956
O 0.820 0.956 0.286
O 0.680 0.714 0.044
O 0.448 0.752 0.414
O 0.052 0.586 0.248
O 0.552 0.248 0.586
O 0.948 0.414 0.752
O 0.943 0.777 0.687
O 0.557 0.313 0.223
O 0.057 0.223 0.313
O 0.443 0.687 0.777
CELL_PARAMETERS angstrom
5.205 0.113 0.117
1.804 7.684 -0.436
1.804 -0.721 7.662
```

=====

# 9
The following is a DFT calculation (PBE) of an optimized crystal structure of Al2CdGeO6. Values from VASP.

Summary:
Density of states at the Fermi level (states/eV/cell): 0.00

Geometry as Quantum ESPRESSO input:
```
&SYSTEM
  ibrav = 0, nat = 20, ntyp = 4
/
ATOMIC_SPECIES
Al 26.98 Al.upf
Cd 112.41 Cd.upf
Ge 72.64 Ge.upf
O 16.00 O.upf
ATOMIC_POSITIONS crystal
Al 0.331 0.705 0.554
Al 0.169 0.446 0.295
Al 0.669 0.295 0.446
Al 0.831 0.554 0.705
Cd 0.250 0.894 0.106
Cd 0.750 0.106 0.894
Ge 0.250 0.193 0.807
Ge 0.750 0.807 0.193
O 0.186 0.953 0.782
O 0.314 0.218 0.047
O 0.814 0.047 0.218
O 0.686 0.782 0.953
O 0.450 0.835 0.364
O 0.050 0.636 0.165
O 0.550 0.165 0.636
O 0.950 0.364 0.835
O 0.034 0.671 0.566
O 0.466 0.434 0.329
O 0.966 0.329 0.434
O 0.534 0.566 0.671
CELL_PARAMETERS angstrom
5.851 -0.002 -0.002
1.897 6.630 -0.840
1.897 -1.086 6.594
```

=====

# 10
The following is a DFT calculation (PBE) of an optimized crystal structure of AlCd2GeO6. Values from VASP.

Summary:
Density of states at the Fermi level (states/eV/cell): 1.40

Geometry as Quantum ESPRESSO input:
```
&SYSTEM
  ibrav = 0, nat = 10, ntyp = 4
/
ATOMIC_SPECIES
Al 26.98 Al.upf
Cd 112.41 Cd.upf
Ge 72.64 Ge.upf
O 16.00 O.upf
ATOMIC_POSITIONS crystal
Al 0.571 0.500 0.500
Cd 0.043 0.500 0.000
Cd 0.043 0.000 0.500
Ge 0.575 0.000 0.000
O 0.698 0.250 0.250
O 0.698 0.250 0.750
O 0.209 0.500 0.500
O 0.213 0.000 0.000
O 0.698 0.750 0.750
O 0.698 0.750 0.250
CELL_PARAMETERS angstrom
4.941 0.000 0.000
0.000 4.937 0.000
0.000 0.000 4.937
```

=====

# 11
The following is a DFT calculation (PBE) of an optimized crystal structure of AlCdGeOs2. Values from VASP.

Summary:
Energy of formation (meV per atom): 1351.5
Density of states at the Fermi level (states/eV/cell): 4.37

Geometry as Quantum ESPRESSO input:
```
&SYSTEM
  ibrav = 0, nat = 5, ntyp = 4
/
ATOMIC_SPECIES
Ge 72.64 Ge.upf
Os 190.23 Os.upf
Al 26.98 Al.upf
Cd 112.41 Cd.upf
ATOMIC_POSITIONS crystal
Ge 0.000 0.500 0.000
Os 0.000 0.000 0.500
Os 0.500 0.000 0.000
Al 0.000 0.000 0.000
Cd 0.500 0.500 0.500
CELL_PARAMETERS angstrom
-3.470 2.010 2.202
-1.664 -4.208 1.219
2.500 0.121 3.830
```

=====

# 12
The following is a DFT calculation (PBE) of an optimized crystal structure of Al2Cd2GePd5. Values from VASP.

Summary:
Energy of formation (meV per atom): -485.8
Density of states at the Fermi level (states/eV/cell): 10.56

Geometry as Quantum ESPRESSO input:
```
&SYSTEM
  ibrav = 0, nat = 20, ntyp = 4
/
ATOMIC_SPECIES
Al 26.98 Al.upf
Cd 112.41 Cd.upf
Ge 72.64 Ge.upf
Pd 106.42 Pd.upf
ATOMIC_POSITIONS crystal
Al 0.000 0.137 0.637
Al 0.000 0.863 0.363
Al 0.000 0.637 0.863
Al 0.000 0.363 0.137
Cd 0.000 0.659 0.159
Cd 0.000 0.341 0.841
Cd 0.000 0.159 0.341
Cd 0.000 0.841 0.659
Ge 0.000 0.000 0.000
Ge 0.000 0.500 0.500
Pd 0.500 0.173 0.109
Pd 0.500 0.827 0.891
Pd 0.500 0.109 0.827
Pd 0.500 0.673 0.391
Pd 0.500 0.891 0.173
Pd 0.500 0.327 0.609
Pd 0.500 0.609 0.673
Pd 0.500 0.391 0.327
Pd 0.500 0.500 0.000
Pd 0.500 0.000 0.500
CELL_PARAMETERS angstrom
-2.806 -1.226 0.373
4.115 -9.597 -0.580
1.392 -0.030 10.365
```

=====

no.,E (eV per cell)
1,-15.87
2,-12.29
3,-9.21
4,-13.73
5,-8.68
6,-21.73
7,-11.40
8,-122.10
9,-129.40
10,-54.80
11,-24.98
12,-89.51